V2ReP | PBE-GGA | optimized geometry

POSCAR file:
```
V2ReP
1.0
3.1470 0.0000 0.0000
0.0000 3.1470 0.0000
0.0000 0.0000 5.3469
V Re P
2 1 1
Cartesian
0.0000 0.0000 1.2191
0.0000 0.0000 4.1279
1.5735 1.5735 2.6735
1.5735 1.5735 0.0000
```

Output
Energy relative to the elements, eV per formula unit: -1.437
Raw total energy, eV per formula unit: -37.53

***

VReP2 | PBE-GGA | optimized geometry

POSCAR file:
```
VReP2
1.0
1.5122 0.8731 6.9294
-1.5122 0.8731 6.9294
0.0000 -1.7461 6.9294
V Re P
1 1 2
Cartesian
0.0000 0.0000 0.0000
0.0000 0.0000 17.5466
0.0000 0.0000 5.3895
0.0000 0.0000 8.8258
```

Output
Distance to the lowest polymorph of the same formula, meV per atom: 41
Energy relative to the elements, eV per formula unit: -1.039
Raw total energy, eV per formula unit: -33.43

***

VReP2 | PBE-GGA | optimized geometry

POSCAR file:
```
VReP2
1.0
0.0000 2.9474 2.9474
2.9474 0.0000 2.9474
2.9474 2.9474 0.0000
V Re P
1 1 2
Cartesian
0.0000 0.0000 0.0000
2.9474 2.9474 2.9474
1.4737 1.4737 1.4737
4.4211 4.4211 4.4211
```

Output
Distance to the lowest polymorph of the same formula, meV per atom: 0
Energy relative to the elements, eV per formula unit: -1.203
Raw total energy, eV per formula unit: -33.59

***

V2ReP | PBE-GGA | optimized geometry

POSCAR file:
```
V2ReP
1.0
-3.2988 3.2988 2.6325
3.2988 -3.2988 2.6325
3.2988 3.2988 -2.6325
V Re P
4 2 2
Cartesian
4.9482 1.4529 -0.6581
1.4529 1.6494 0.6581
-1.6494 1.8459 1.9744
1.8459 1.6494 3.2907
3.2988 0.0000 1.3163
0.0000 0.0000 2.6325
0.0000 0.0000 0.0000
0.0000 3.2988 1.3163
```

Output
Energy relative to the elements, eV per formula unit: 0.887
Raw total energy, eV per formula unit: -35.21